{
  "formula": "SmMo6S8",
  "functional": "GGA-PBEsol",
  "state": "optimized geometry",
  "total_energy_ry_per_atom": -0.6168,
  "raw_formation_energy_ev_per_atom": -1.0071,
  "magmom_total_mub_per_fu": 0.000,
  "space_group": "R-3, No. 148",
  "dos_at_fermi_per_ev_atom": 0.40,
  "lattice_angstrom": [[-3.207, -4.316, 3.488], [5.471, -2.696, 1.970], [0.193, 3.802, 5.157]],
  "species": ["Mo", "S", "Mo", "Sm", "S", "Mo", "S", "S", "S", "S", "S", "Mo", "Mo", "S", "Mo"],
  "frac_coords": [[0.778, 0.580, 0.437], [0.126, 0.755, 0.374], [0.420, 0.563, 0.222], [0.000, 0.000, 0.000], [0.759, 0.759, 0.759], [0.222, 0.420, 0.563], [0.245, 0.626, 0.874], [0.755, 0.374, 0.126], [0.374, 0.126, 0.755], [0.626, 0.874, 0.245], [0.241, 0.241, 0.241], [0.580, 0.437, 0.778], [0.563, 0.222, 0.420], [0.874, 0.245, 0.626], [0.437, 0.778, 0.580]]
}